# 1
# Rb2NaTl16

A relaxed Rb2NaTl16 crystal (PBE, Alexandria).

CIF file:
```
data_Rb2NaTl16
_chemical_formula_sum 'Rb6 Na3 Tl48'
_symmetry_space_group_name_H-M 'R 3 m'
_symmetry_Int_Tables_number 160
_symmetry_space_group_name_Hall 'R 3 -2"'
_cell_length_a 11.4399
_cell_length_b 11.4399
_cell_length_c 17.0354
_cell_angle_alpha 90.00
_cell_angle_beta 90.00
_cell_angle_gamma 120.00
loop_
_atom_site_label
_atom_site_fract_x
_atom_site_fract_y
_atom_site_fract_z
Rb1 0.0000 0.0000 0.0000
Rb2 0.0000 0.0000 0.3146
Na1 0.0000 0.0000 0.5675
Tl1 0.0000 0.0000 0.7660
Tl2 0.0420 0.3744 0.3264
Tl3 0.1674 0.3348 0.4948
Tl4 0.1686 0.3371 0.1352
Tl5 0.1702 0.3405 0.8452
```

Results
- calculated formation energy (kcal/mol of atoms) = -0.8



# 2
# Rb2Na2Tl

A relaxed Rb2Na2Tl crystal (PBE, Alexandria).

CIF file:
```
data_Rb2Na2Tl
_chemical_formula_sum 'Rb4 Na4 Tl2'
_symmetry_space_group_name_H-M 'I 4/m m m'
_symmetry_Int_Tables_number 139
_symmetry_space_group_name_Hall '-I 4 2'
_cell_length_a 4.655
_cell_length_b 4.655
_cell_length_c 23.810
_cell_angle_alpha 90.00
_cell_angle_beta 90.00
_cell_angle_gamma 90.00
loop_
_atom_site_label
_atom_site_fract_x
_atom_site_fract_y
_atom_site_fract_z
Rb1 0.000 0.000 0.094
Na1 0.000 0.500 0.250
Tl1 0.000 0.000 0.500
```

Results
- energy above the lowest structure with this stoichiometry (meV/atom) = 85
- calculated formation energy (kcal/mol of atoms) = 1.9



# 3
# Rb5Na4Tl2

A relaxed Rb5Na4Tl2 crystal (PBE, Alexandria).

CIF file:
```
data_Rb5Na4Tl2
_chemical_formula_sum 'Rb10 Na8 Tl4'
_symmetry_space_group_name_H-M 'I m m m'
_symmetry_Int_Tables_number 71
_symmetry_space_group_name_Hall '-I 2 2'
_cell_length_a 4.207
_cell_length_b 12.647
_cell_length_c 22.652
_cell_angle_alpha 90.00
_cell_angle_beta 90.00
_cell_angle_gamma 90.00
loop_
_atom_site_label
_atom_site_fract_x
_atom_site_fract_y
_atom_site_fract_z
Rb1 0.000 0.000 0.000
Rb2 0.000 0.217 0.152
Na1 0.000 0.160 0.500
Na2 0.000 0.500 0.222
Tl1 0.000 0.500 0.076
```

Results
- calculated formation energy (kcal/mol of atoms) = 0.9



Question: Which of these has the highest calculated formation energy?
Answer: Rb2Na2Tl